Below is a geometry-optimized RbV2BiO6 structure, with properties calculated at the GGA+U level.

Output
* energy: -134.4 eV for the cell shown
* SG: No. 15

Cell lengths 7.5690, 7.5690, 6.1066 Å; angles 99.86, 99.86, 88.03 degrees
With the nearest neighbours (Å) after each atom.
Fractional coordinates of all 20 atoms:
Rb  0.1871  0.8129  0.2500  8 O 3.02-3.06
Rb  0.8129  0.1871  0.7500  8 O 3.02-3.06
V  0.2973  0.1247  0.8042  4 O 1.74-1.89
V  0.8753  0.7027  0.6958  4 O 1.74-1.89
V  0.7027  0.8753  0.1958  4 O 1.74-1.89
V  0.1247  0.2973  0.3042  4 O 1.74-1.89
Bi  0.5959  0.4041  0.2500  6 O 2.32-2.46
Bi  0.4041  0.5959  0.7500  6 O 2.32-2.46
O  0.9175  0.3950  0.2278  1 V 1.74
O  0.6050  0.0825  0.2722  1 V 1.74
O  0.0825  0.6050  0.7722  1 V 1.74
O  0.3950  0.9175  0.7278  1 V 1.74
O  0.1730  0.1479  0.0387  2 V 1.82-1.89
O  0.8521  0.8270  0.4613  2 V 1.82-1.89
O  0.8270  0.8521  0.9613  2 V 1.82-1.89
O  0.1479  0.1730  0.5387  2 V 1.82-1.89
O  0.3210  0.4541  0.3693  1 V 1.88
O  0.5459  0.6790  0.1307  1 V 1.88
O  0.6790  0.5459  0.6307  1 V 1.88
O  0.4541  0.3210  0.8693  1 V 1.88